The following is a GGA-PBE calculation of Tm5GaHg4 after structural relaxation, from the Alexandria database.

Output
**DFT total energy**: -31.51 eV for the cell shown
**M_tot**: 0.0 μB/f.u.
**ΔE_f**: -0.491 eV/atom
**Calculated volume**: 24.242 A^3/atom

Unit cell a=3.649 b=3.649 c=18.202 alpha=90.00 beta=90.00 gamma=90.00
Space group P4/mmm (No. 123)
Symmetry-distinct sites (fractional):
Tm (0.000, 0.000, 0.000) (multiplicity 1)
Tm (0.000, 0.000, 0.204) (multiplicity 2)
Tm (0.000, 0.000, 0.406) (multiplicity 2)
Ga (0.500, 0.500, 0.500) (multiplicity 1)
Hg (0.500, 0.500, 0.102) (multiplicity 2)
Hg (0.500, 0.500, 0.305) (multiplicity 2)